No. 1
# Cs2Mg2B

Cs2Mg2B after structural relaxation (PBE, Alexandria via LeMat-Bulk).

Summary:
The value obtained for the volume is 41.25 A^3/atom. As for the theoretical density: 2.62 Mg/m³. The value obtained for the electronic total energy is -13.88 eV for the cell shown. The calculation puts the formation enthalpy at 0 K at 927 meV/atom.

Cell lengths 4.205, 4.205, 23.332 Å; angles 90.00, 90.00, 90.00 degrees
Space group I4/mmm (No. 139)
One atom of each set of equivalent atoms:
Cs 0.000 0.000 0.087 (multiplicity 4)
Mg 0.000 0.500 0.250 (multiplicity 4)
B 0.000 0.000 0.500 (multiplicity 2)

---

No. 2
# CsMg2B

CsMg2B after structural relaxation (PBE, Alexandria via LeMat-Bulk).

Summary:
The value obtained for the volume is 33.39 A^3/atom. As for the theoretical density: 2.39 Mg/m³. The value obtained for the electronic total energy is -36.02 eV for the cell shown. The calculation puts the formation enthalpy at 0 K at 429 meV/atom.

Cell lengths 7.225, 7.225, 10.233 Å; angles 90.00, 90.00, 90.00 degrees
Space group I4_1/amd (No. 141, origin choice 2)
One atom of each set of equivalent atoms:
Cs 0.000 0.250 0.375 (multiplicity 4)
Mg 0.000 0.000 0.000 (multiplicity 8)
B 0.000 0.250 0.875 (multiplicity 4)

---

No. 3
# CsMg6BO7

CsMg6BO7 after structural relaxation (PBE, Alexandria via LeMat-Bulk).

Summary:
The value obtained for the volume is 12.55 A^3/atom. As for the theoretical density: 3.54 Mg/m³. The value obtained for the electronic total energy is -77.69 eV for the cell shown. As for the energy relative to the lowest polymorph listed for this composition: 469 meV per atom. The value obtained for the raw formation energy is -1.73 eV/atom.

Cell lengths 4.872, 4.872, 7.935 Å; angles 90.00, 90.00, 90.00 degrees
Space group P4mm (No. 99)
One atom of each set of equivalent atoms:
Cs 0.000 0.000 0.000 (multiplicity 1)
Mg 0.000 0.500 0.186 (multiplicity 2)
Mg 0.000 0.500 0.662 (multiplicity 2)
Mg 0.500 0.500 0.421 (multiplicity 1)
Mg 0.500 0.500 0.914 (multiplicity 1)
B 0.000 0.000 0.431 (multiplicity 1)
O 0.000 0.000 0.602 (multiplicity 1)
O 0.000 0.500 0.421 (multiplicity 2)
O 0.000 0.500 0.913 (multiplicity 2)
O 0.500 0.500 0.166 (multiplicity 1)
O 0.500 0.500 0.668 (multiplicity 1)

---

No. 4
# CsMg2B2O6

CsMg2B2O6 after structural relaxation (PBE, Alexandria via LeMat-Bulk).

Summary:
The value obtained for the volume is 15.99 A^3/atom. As for the theoretical density: 2.82 Mg/m³. The value obtained for the electronic total energy is -72.69 eV for the cell shown. The value obtained for the raw formation energy is -2.32 eV/atom.

Cell lengths 5.169, 5.384, 7.235 Å; angles 111.72, 108.32, 90.20 degrees
Space group P-1 (No. 2)
One atom of each set of equivalent atoms:
Cs 0.000 0.000 0.000 (multiplicity 1)
Mg 0.338 0.731 0.462 (multiplicity 2)
B 0.275 0.347 0.692 (multiplicity 2)
O 0.039 0.371 0.738 (multiplicity 2)
O 0.401 0.115 0.661 (multiplicity 2)
O 0.405 0.550 0.664 (multiplicity 2)

---

No. 5
# CsMg14BO15

CsMg14BO15 after structural relaxation (PBE, Alexandria via LeMat-Bulk).

Summary:
The value obtained for the volume is 12.08 A^3/atom. As for the theoretical density: 3.21 Mg/m³. The value obtained for the electronic total energy is -172.69 eV for the cell shown. The value obtained for the raw formation energy is -2.21 eV/atom.

Cell lengths 4.098, 8.419, 10.857 Å; angles 90.00, 90.00, 90.00 degrees
Space group Pmm2 (No. 25)
One atom of each set of equivalent atoms:
Cs 0.000 0.000 0.000 (multiplicity 1)
Mg 0.000 0.000 0.458 (multiplicity 1)
Mg 0.000 0.244 0.656 (multiplicity 2)
Mg 0.000 0.245 0.267 (multiplicity 2)
Mg 0.000 0.500 0.945 (multiplicity 1)
Mg 0.500 0.000 0.266 (multiplicity 1)
Mg 0.500 0.000 0.658 (multiplicity 1)
Mg 0.500 0.244 0.847 (multiplicity 2)
Mg 0.500 0.255 0.449 (multiplicity 2)
Mg 0.500 0.500 0.217 (multiplicity 1)
Mg 0.500 0.500 0.615 (multiplicity 1)
B 0.000 0.500 0.432 (multiplicity 1)
O 0.000 0.000 0.262 (multiplicity 1)
O 0.000 0.000 0.642 (multiplicity 1)
O 0.000 0.246 0.452 (multiplicity 2)
O 0.000 0.301 0.846 (multiplicity 2)
O 0.000 0.500 0.297 (multiplicity 1)
O 0.500 0.000 0.455 (multiplicity 1)
O 0.500 0.000 0.843 (multiplicity 1)
O 0.500 0.248 0.245 (multiplicity 2)
O 0.500 0.267 0.653 (multiplicity 2)
O 0.500 0.500 0.016 (multiplicity 1)
O 0.500 0.500 0.435 (multiplicity 1)

---

No. 6
# CsMg6BO7

CsMg6BO7 after structural relaxation (PBE, Alexandria via LeMat-Bulk).

Summary:
The value obtained for the volume is 14.32 A^3/atom. As for the theoretical density: 3.10 Mg/m³. The value obtained for the electronic total energy is -79.87 eV for the cell shown. As for the energy relative to the lowest polymorph listed for this composition: 324 meV per atom. The value obtained for the raw formation energy is -1.87 eV/atom.

Cell lengths 4.276, 4.276, 11.750 Å; angles 90.00, 90.00, 90.00 degrees
Space group P4mm (No. 99)
One atom of each set of equivalent atoms:
Cs 0.000 0.000 0.000 (multiplicity 1)
Mg 0.000 0.500 0.328 (multiplicity 2)
Mg 0.000 0.500 0.679 (multiplicity 2)
Mg 0.500 0.500 0.506 (multiplicity 1)
Mg 0.500 0.500 0.844 (multiplicity 1)
B 0.000 0.000 0.498 (multiplicity 1)
O 0.000 0.000 0.373 (multiplicity 1)
O 0.000 0.000 0.615 (multiplicity 1)
O 0.000 0.500 0.494 (multiplicity 2)
O 0.000 0.500 0.846 (multiplicity 2)
O 0.500 0.500 0.670 (multiplicity 1)

---

No. 7
# CsMg6BO7

CsMg6BO7 after structural relaxation (PBE, Alexandria via LeMat-Bulk).

Summary:
The value obtained for the volume is 15.03 A^3/atom. As for the theoretical density: 2.96 Mg/m³. The value obtained for the electronic total energy is -169.47 eV for the cell shown. As for the energy relative to the lowest polymorph listed for this composition: 0 meV per atom. The value obtained for the raw formation energy is -2.20 eV/atom.

Cell lengths 5.970, 6.085, 12.423 Å; angles 90.00, 91.91, 90.00 degrees
Space group Cm (No. 8)
One atom of each set of equivalent atoms:
Cs 0.000 0.000 0.000 (multiplicity 2)
Mg 0.232 0.250 0.336 (multiplicity 4)
Mg 0.258 0.240 0.696 (multiplicity 4)
Mg 0.492 0.500 0.518 (multiplicity 2)
Mg 0.495 0.000 0.508 (multiplicity 2)
B 0.105 0.500 0.816 (multiplicity 2)
O 0.000 0.000 0.676 (multiplicity 2)
O 0.004 0.500 0.696 (multiplicity 2)
O 0.159 0.300 0.851 (multiplicity 4)
O 0.243 0.248 0.509 (multiplicity 4)
O 0.483 0.000 0.337 (multiplicity 2)

---

No. 8
# CsMgBP2

CsMgBP2 after structural relaxation (PBE, Alexandria via LeMat-Bulk).

Summary:
The value obtained for the volume is 20.27 A^3/atom. As for the theoretical density: 3.77 Mg/m³. The value obtained for the electronic total energy is -16.49 eV for the cell shown. The calculation puts the formation enthalpy at 0 K at 692 meV/atom.

Cell lengths 4.612, 4.612, 4.765 Å; angles 90.00, 90.00, 90.00 degrees
Space group P4/mmm (No. 123)
One atom of each set of equivalent atoms:
Cs 0.000 0.000 0.000 (multiplicity 1)
Mg 0.500 0.500 0.000 (multiplicity 1)
B 0.500 0.500 0.500 (multiplicity 1)
P 0.000 0.500 0.500 (multiplicity 2)

---

Question: Which of these has the lowest volume?
Answer: CsMg14BO15

---

Question: What is the theoretical density in the fourth record?
Answer: 2.82 Mg/m³

---

Question: What is the electronic total energy in the eighth record?
Answer: -16.49 eV for the cell shown

---

What did the sixth record say?
# CsMg6BO7

CsMg6BO7 after structural relaxation (PBE, Alexandria via LeMat-Bulk).

Summary:
The value obtained for the volume is 14.32 A^3/atom. As for the theoretical density: 3.10 Mg/m³. The value obtained for the electronic total energy is -79.87 eV for the cell shown. As for the energy relative to the lowest polymorph listed for this composition: 324 meV per atom. The value obtained for the raw formation energy is -1.87 eV/atom.

Cell lengths 4.276, 4.276, 11.750 Å; angles 90.00, 90.00, 90.00 degrees
Space group P4mm (No. 99)
One atom of each set of equivalent atoms:
Cs 0.000 0.000 0.000 (multiplicity 1)
Mg 0.000 0.500 0.328 (multiplicity 2)
Mg 0.000 0.500 0.679 (multiplicity 2)
Mg 0.500 0.500 0.506 (multiplicity 1)
Mg 0.500 0.500 0.844 (multiplicity 1)
B 0.000 0.000 0.498 (multiplicity 1)
O 0.000 0.000 0.373 (multiplicity 1)
O 0.000 0.000 0.615 (multiplicity 1)
O 0.000 0.500 0.494 (multiplicity 2)
O 0.000 0.500 0.846 (multiplicity 2)
O 0.500 0.500 0.670 (multiplicity 1)